Record 1
Below is crystalline V2P4H3O16 at its relaxed geometry, with properties calculated at the PBEsol level.

Computed properties:
Crystal system: triclinic
M_tot in Bohr magnetons per cell: 1.009
Uncorrected energy in hartree per atom: -0.273

abc: 4.8379 7.0316 7.9672
angles: 90.02 91.45 104.45
Closest atoms and distances in Å follow each position.
Atoms (fractional coordinates):
1 V 0.0000 0.0000 0.0000  6 O 1.82-1.95
2 V 0.4999 0.5003 0.4998  6 O 1.85-1.90
3 P 0.1096 0.7668 0.3463  4 O 1.50-1.57
4 P 0.3740 0.7363 0.8398  4 O 1.53-1.54
5 P 0.6260 0.2638 0.1601  4 O 1.53-1.54
6 P 0.8906 0.2338 0.6537  4 O 1.50-1.57
7 H 0.1525 0.4220 0.9029  1 O 1.02
8 H 0.5017 0.0006 0.5006  2 O 1.19-1.21
9 H 0.8475 0.5779 0.0969  1 O 1.02
10 O 0.0164 0.7922 0.1593  1 P 1.57, 1 H 1.60
11 O 0.1680 0.8701 0.8334  1 P 1.53
12 O 0.1736 0.3154 0.5606  1 P 1.55
13 O 0.2643 0.5546 0.9501  1 H 1.02
14 O 0.2761 0.6046 0.3433  1 P 1.55
15 O 0.2804 0.9582 0.4199  1 H 1.21
16 O 0.3479 0.1467 0.0716  1 P 1.54
17 O 0.4284 0.6729 0.6625  1 P 1.53
18 O 0.5716 0.3273 0.3373  1 P 1.53
19 O 0.6521 0.8535 0.9283  1 P 1.54
20 O 0.7199 0.0419 0.5804  1 H 1.19
21 O 0.7236 0.3957 0.6566  1 P 1.55
22 O 0.7358 0.4454 0.0497  1 H 1.02
23 O 0.8260 0.6848 0.4390  1 P 1.55
24 O 0.8319 0.1300 0.1666  1 P 1.53
25 O 0.9839 0.2081 0.8406  1 P 1.57, 1 H 1.59

---

Record 2
Below is crystalline Ba3Ho2Cu2PtO10 at its relaxed geometry, with properties calculated at the PBEsol level.

Computed properties:
Crystal system: monoclinic
M_tot in Bohr magnetons per cell: 2.013
Uncorrected energy in hartree per atom: -0.253
Formation energy from raw total energies in eV per atom: -2.196

abc: 6.8407 6.8407 7.3542
angles: 104.34 104.34 49.91
Closest atoms and distances in Å follow each position.
Atoms (fractional coordinates):
1 Ba 0.0000 0.0000 0.0000  8 O 2.68-2.72
2 Ba 0.1532 0.1532 0.5416  1 O 2.50
3 Ba 0.8468 0.8468 0.4584  1 O 2.50
4 Ho 0.3115 0.3115 0.1257  7 O 2.22-2.46
5 Ho 0.6885 0.6885 0.8743  7 O 2.22-2.46
6 Cu 0.4110 0.4110 0.8016  4 O 1.94-2.05
7 Cu 0.5890 0.5890 0.1984  4 O 1.94-2.05
8 Pt 0.5000 0.5000 0.5000  6 O 2.00-2.02
9 O 0.0866 0.5445 0.8730  1 Cu 1.94
10 O 0.2614 0.7018 0.2800  1 Pt 2.02, 1 Cu 2.05
11 O 0.2982 0.7386 0.7200  1 Pt 2.02, 1 Cu 2.05
12 O 0.3328 0.3328 0.4499  1 Pt 2.00
13 O 0.4555 0.9134 0.1270  1 Cu 1.94
14 O 0.5445 0.0866 0.8730  1 Cu 1.94
15 O 0.6672 0.6672 0.5501  1 Pt 2.00
16 O 0.7018 0.2614 0.2800  1 Pt 2.02, 1 Cu 2.05
17 O 0.7386 0.2982 0.7200  1 Pt 2.02, 1 Cu 2.05
18 O 0.9134 0.4555 0.1270  1 Cu 1.94

---

Record 3
Below is crystalline RbSbPdPt2 at its relaxed geometry, with properties calculated at the PBEsol level.

Computed properties:
Crystal system: tetragonal
M_tot in Bohr magnetons per cell: 0.000
Uncorrected energy in hartree per atom: -0.175
Formation energy from raw total energies in eV per atom: 0.341

abc: 5.0152 5.0152 5.0287
angles: 90.00 90.00 90.00
Closest atoms and distances in Å follow each position.
Atoms (fractional coordinates):
1 Rb 0.0000 0.0000 0.0000  4 Pd 3.55, 8 Pt 3.55
2 Sb 0.5000 0.5000 0.5000  4 Pt 2.51, 2 Pd 2.51
3 Pd 0.5000 0.5000 0.0000  2 Sb 2.51
4 Pt 0.0000 0.5000 0.5000  2 Sb 2.51
5 Pt 0.5000 0.0000 0.5000  2 Sb 2.51

---

Record 4
Below is crystalline SrV3O7 at its relaxed geometry, with properties calculated at the PBEsol level.

Computed properties:
Crystal system: orthorhombic
M_tot in Bohr magnetons per cell: 6.001
Uncorrected energy in hartree per atom: -0.318
Formation energy from raw total energies in eV per atom: -2.520

abc: 5.2430 10.4085 5.4067
angles: 90.00 90.00 90.00
Closest atoms and distances in Å follow each position.
Atoms (fractional coordinates):
1 Sr 0.2500 0.2500 0.1446  6 O 2.42-2.59
2 Sr 0.7500 0.7500 0.8554  6 O 2.42-2.59
3 V 0.2500 0.0177 0.6218  1 O 1.62
4 V 0.2500 0.4823 0.6218  1 O 1.62
5 V 0.2500 0.7500 0.4082  1 O 1.63
6 V 0.7500 0.2500 0.5918  1 O 1.63
7 V 0.7500 0.5177 0.3782  1 O 1.62
8 V 0.7500 0.9823 0.3782  1 O 1.62
9 O 0.0146 0.6199 0.5381  3 V 1.94-1.96
10 O 0.0146 0.8801 0.5381  3 V 1.94-1.96
11 O 0.2500 0.0498 0.9159  1 V 1.62
12 O 0.2500 0.4502 0.9159  1 V 1.62
13 O 0.2500 0.7500 0.1059  1 V 1.63
14 O 0.4854 0.6199 0.5381  3 V 1.94-1.96
15 O 0.4854 0.8801 0.5381  3 V 1.94-1.96
16 O 0.5146 0.1199 0.4619  3 V 1.94-1.96
17 O 0.5146 0.3801 0.4619  3 V 1.94-1.96
18 O 0.7500 0.2500 0.8941  1 V 1.63
19 O 0.7500 0.5498 0.0841  1 V 1.62
20 O 0.7500 0.9502 0.0841  1 V 1.62
21 O 0.9854 0.1199 0.4619  3 V 1.94-1.96
22 O 0.9854 0.3801 0.4619  3 V 1.94-1.96

---

Record 5
Below is crystalline TaZnIn at its relaxed geometry, with properties calculated at the PBEsol level.

Computed properties:
Crystal system: tetragonal
M_tot in Bohr magnetons per cell: 0.000
Uncorrected energy in hartree per atom: -0.203
ΔH_f (0 K) in eV per atom: 0.1704

abc: 6.6841 6.6841 6.6841
angles: 155.03 155.03 35.60
Closest atoms and distances in Å follow each position.
Atoms (fractional coordinates):
1 Ta 0.0000 0.0000 0.0000  4 Zn 2.80, 4 Ta 2.89, 4 In 3.04
2 Zn 0.3493 0.3493 0.0000  4 Ta 2.80, 4 Zn 2.89, 4 In 3.00
3 In 0.6766 0.6766 0.0000  4 In 2.89, 4 Zn 3.00, 4 Ta 3.04

---

Record 6
Below is crystalline Cd2H2SO6 at its relaxed geometry, with properties calculated at the PBEsol level.

Computed properties:
Crystal system: monoclinic
M_tot in Bohr magnetons per cell: 0.000
Uncorrected energy in hartree per atom: -0.197

abc: 6.9983 7.4915 11.4508
angles: 90.00 120.21 90.00
Closest atoms and distances in Å follow each position.
Atoms (fractional coordinates):
1 Cd 0.1516 0.0393 0.1664  6 O 2.20-2.43
2 Cd 0.1516 0.4607 0.6664  6 O 2.20-2.43
3 Cd 0.3256 0.1622 0.5030  6 O 2.22-2.43
4 Cd 0.3256 0.3378 0.0030  6 O 2.22-2.43
5 Cd 0.6744 0.6622 0.9970  6 O 2.22-2.43
6 Cd 0.6744 0.8378 0.4970  6 O 2.22-2.43
7 Cd 0.8484 0.5393 0.3336  6 O 2.20-2.43
8 Cd 0.8484 0.9607 0.8336  6 O 2.20-2.43
9 H 0.0796 0.7099 0.0515  1 O 0.99
10 H 0.0796 0.7901 0.5515  1 O 0.99
11 H 0.2405 0.6813 0.8630  1 O 0.99
12 H 0.2405 0.8187 0.3630  1 O 0.99
13 H 0.7595 0.1813 0.6370  1 O 0.99
14 H 0.7595 0.3187 0.1370  1 O 0.99
15 H 0.9204 0.2099 0.4485  1 O 0.99
16 H 0.9204 0.2901 0.9485  1 O 0.99
17 S 0.3091 0.0038 0.7824  4 O 1.49
18 S 0.3091 0.4962 0.2824  4 O 1.49
19 S 0.6909 0.5038 0.7176  4 O 1.49
20 S 0.6909 0.9962 0.2176  4 O 1.49
21 O 0.0292 0.1915 0.9739  1 H 0.99
22 O 0.0292 0.3085 0.4739  1 H 0.99
23 O 0.1621 0.5998 0.3158  1 S 1.49
24 O 0.1621 0.9002 0.8158  1 S 1.49
25 O 0.2382 0.5209 0.1373  1 S 1.49
26 O 0.2382 0.9791 0.6373  1 S 1.49
27 O 0.2997 0.1975 0.8089  1 S 1.49
28 O 0.2997 0.3025 0.3089  1 S 1.49
29 O 0.3216 0.5679 0.8735  1 H 0.99
30 O 0.3216 0.9321 0.3735  1 H 0.99
31 O 0.4598 0.0619 0.1312  1 S 1.49
32 O 0.4598 0.4381 0.6312  1 S 1.49
33 O 0.5402 0.5619 0.3688  1 S 1.49
34 O 0.5402 0.9381 0.8688  1 S 1.49
35 O 0.6784 0.0679 0.6265  1 H 0.99
36 O 0.6784 0.4321 0.1265  1 H 0.99
37 O 0.7003 0.6975 0.6911  1 S 1.49
38 O 0.7003 0.8025 0.1911  1 S 1.49
39 O 0.7618 0.0209 0.3627  1 S 1.49
40 O 0.7618 0.4791 0.8627  1 S 1.49
41 O 0.8379 0.0998 0.1842  1 S 1.49
42 O 0.8379 0.4002 0.6842  1 S 1.49
43 O 0.9708 0.6915 0.5261  1 H 0.99
44 O 0.9708 0.8085 0.0261  1 H 0.99

---

Record 7
Below is crystalline MgFePb2 at its relaxed geometry, with properties calculated at the PBEsol level.

Computed properties:
Crystal system: cubic
M_tot in Bohr magnetons per cell: 2.626
Uncorrected energy in hartree per atom: -0.151
ΔH_f (0 K) in eV per atom: 0.5646

abc: 5.0673 5.0673 5.0673
angles: 60.00 60.00 60.00
Closest atoms and distances in Å follow each position.
Atoms (fractional coordinates):
1 Mg 0.0000 0.0000 0.0000  4 Fe 3.10, 4 Pb 3.10
2 Fe 0.7500 0.7500 0.7500  4 Pb 3.10, 4 Mg 3.10
3 Pb 0.2500 0.2500 0.2500  4 Pb 3.10, 4 Mg 3.10
4 Pb 0.5000 0.5000 0.5000  4 Pb 3.10, 4 Fe 3.10

---

Record 8
Below is crystalline NbMo3P at its relaxed geometry, with properties calculated at the PBEsol level.

Computed properties:
Crystal system: cubic
M_tot in Bohr magnetons per cell: 0.000
Uncorrected energy in hartree per atom: -0.364
Relative energy among the computed polymorphs in meV per atom: 0
ΔH_f (0 K) in eV per atom: 0.4833

abc: 4.3978 4.3978 4.3978
angles: 90.00 90.00 90.00
Closest atoms and distances in Å follow each position.
Atoms (fractional coordinates):
1 Nb 0.0000 0.0000 0.0000  12 Mo 3.11
2 Mo 0.0000 0.5000 0.5000  2 P 2.20
3 Mo 0.5000 0.0000 0.5000  2 P 2.20
4 Mo 0.5000 0.5000 0.0000  2 P 2.20
5 P 0.5000 0.5000 0.5000  6 Mo 2.20